Entry 1:
! TaRu2AuN, optimized geometry, DFT PBE-GGA; values from VASP
&SYSTEM
  ibrav = 0, nat = 5, ntyp = 4
/
ATOMIC_SPECIES
Ru 101.07 Ru.upf
N 14.01 N.upf
Au 196.97 Au.upf
Ta 180.95 Ta.upf
ATOMIC_POSITIONS angstrom
Ru 0.102 -1.426 2.053
Ru -0.343 2.028 1.425
N -1.778 -0.244 -0.081
Au 0.000 0.000 0.000
Ta -2.019 0.358 3.397
CELL_PARAMETERS angstrom
-0.686 4.055 2.850
-3.556 -0.488 -0.162
0.204 -2.851 4.107
! **Density of states at the Fermi level**: 1.1846 states/eV/atom
! **Space group**: No. 123
! **Calculated volume**: 90.0 Å³/f.u.
! **Energy relative to the elements, uncorrected**: 192.06 kJ/mol of atoms
! **Density**: 10.97 g cm⁻³


Entry 2:
! Tc2RuAuN, optimized geometry, DFT PBE-GGA; values from VASP
&SYSTEM
  ibrav = 0, nat = 5, ntyp = 4
/
ATOMIC_SPECIES
Ru 101.07 Ru.upf
Au 196.97 Au.upf
Tc 98.00 Tc.upf
N 14.01 N.upf
ATOMIC_POSITIONS angstrom
Ru 0.000 0.000 2.050
Au 2.033 2.033 2.050
Tc 0.000 2.033 0.000
Tc 2.033 0.000 0.000
N 0.000 0.000 0.000
CELL_PARAMETERS angstrom
4.065 0.000 0.000
0.000 4.065 0.000
0.000 0.000 4.099
! **Density of states at the Fermi level**: 0.9637 states/eV/atom
! **Space group**: No. 123
! **Calculated volume**: 67.8 Å³/f.u.
! **Energy relative to the elements, uncorrected**: 19.03 kJ/mol of atoms
! **Density**: 12.45 g cm⁻³


Entry 3:
! Te2RuAuN, optimized geometry, DFT PBE-GGA; values from VASP
&SYSTEM
  ibrav = 0, nat = 5, ntyp = 4
/
ATOMIC_SPECIES
Ru 101.07 Ru.upf
Te 127.60 Te.upf
Au 196.97 Au.upf
N 14.01 N.upf
ATOMIC_POSITIONS angstrom
Ru 0.000 0.000 0.000
Te 0.000 2.718 0.000
Te 2.718 0.000 0.000
Au 2.718 2.718 1.812
N 0.000 0.000 1.812
CELL_PARAMETERS angstrom
5.437 0.000 0.000
0.000 5.437 0.000
0.000 0.000 3.624
! **Density of states at the Fermi level**: 0.7004 states/eV/atom
! **Space group**: No. 123
! **Calculated volume**: 107.1 Å³/f.u.
! **Energy relative to the elements, uncorrected**: 37.15 kJ/mol of atoms
! **Density**: 8.79 g cm⁻³
! **Energy above the lowest structure with this stoichiometry**: 0 meV/atom


Calculated energy (eV per atom), listed in the same order as above: -6.411 -8.125 -5.047